1.
Below is a geometry-optimized BaZrTeN2 structure, with properties calculated at the PBE level.

Calculated values
* total magnetization: 0.51 μB/f.u.
* energy relative to the elements, uncorrected: 1.457 eV per atom
* relative energy among the computed polymorphs: 1753 meV per atom
* symmetry: P4/mmm

a b c (Å): 4.4346 4.4346 6.4626
angles (deg): 90.00 90.00 90.00
Last column: nearest neighbours and their distance in Å.
Atoms (fractional coordinates):
Te 0.0000 0.0000 0.5000  4 Zr 3.14, 2 Ba 3.23
Ba 0.0000 0.0000 0.0000  4 N 2.22
Zr 0.5000 0.5000 0.5000  4 Te 3.14
N 0.0000 0.5000 0.0000  2 Ba 2.22
N 0.5000 0.0000 0.0000  2 Ba 2.22

=====

2.
Below is a geometry-optimized BaZrTeN2 structure, with properties calculated at the PBE level.

Calculated values
* total magnetization: 1.95 μB/f.u.
* energy relative to the elements, uncorrected: -0.296 eV per atom
* relative energy among the computed polymorphs: 0 meV per atom
* symmetry: P4/mmm

a b c (Å): 4.5240 4.5240 5.8066
angles (deg): 90.00 90.00 90.00
Last column: nearest neighbours and their distance in Å.
Atoms (fractional coordinates):
Te 0.0000 0.0000 0.5000  2 Zr 2.90, 4 Ba 3.20
Ba 0.5000 0.5000 0.5000  4 Te 3.20
Zr 0.0000 0.0000 0.0000  4 N 2.26
N 0.0000 0.5000 0.0000  2 Zr 2.26
N 0.5000 0.0000 0.0000  2 Zr 2.26

=====

3.
Below is a geometry-optimized BaTh2N structure, with properties calculated at the PBE level.

Calculated values
* total magnetization: 0.00 μB/f.u.
* energy relative to the elements, uncorrected: -0.433 eV per atom
* symmetry: R-3m

a b c (Å): 3.6967 3.6967 10.2905
angles (deg): 79.65 79.65 60.00
Last column: nearest neighbours and their distance in Å.
Atoms (fractional coordinates):
Ba 0.0000 0.0000 0.0000  2 Th 3.65, 6 Ba 3.70
Th 0.1209 0.1209 0.6372  3 N 2.54
Th 0.8791 0.8791 0.3628  3 N 2.54
N 0.5000 0.5000 0.5000  6 Th 2.54